A) Material: Tm2MgNb
Method: DFT, PBE
State: relaxed Values from VASP.

The value obtained for the density of states at the Fermi level is 15.7 states/eV per cell.

Cell and atoms, written as Quantum ESPRESSO input:
```
&SYSTEM
  ibrav = 0, nat = 12, ntyp = 3
/
ATOMIC_SPECIES
Tm 168.93 Tm.upf
Mg 24.30 Mg.upf
Nb 92.91 Nb.upf
ATOMIC_POSITIONS crystal
Tm 0.000 0.000 0.084
Tm 0.000 0.000 0.916
Tm 0.333 0.667 0.583
Tm 0.333 0.667 0.751
Tm 0.667 0.333 0.249
Tm 0.667 0.333 0.417
Mg 0.000 0.000 0.500
Mg 0.333 0.667 0.167
Mg 0.667 0.333 0.833
Nb 0.000 0.000 0.000
Nb 0.333 0.667 0.667
Nb 0.667 0.333 0.333
CELL_PARAMETERS angstrom
3.155 0.000 0.000
-1.577 2.732 0.000
0.000 0.000 34.834
```

B) Material: Tm2MgNb
Method: DFT, PBE
State: relaxed Values from VASP.

The value obtained for the density of states at the Fermi level is 4.7 states/eV per cell.

Cell and atoms, written as Quantum ESPRESSO input:
```
&SYSTEM
  ibrav = 0, nat = 4, ntyp = 3
/
ATOMIC_SPECIES
Tm 168.93 Tm.upf
Mg 24.30 Mg.upf
Nb 92.91 Nb.upf
ATOMIC_POSITIONS crystal
Tm 0.000 0.000 0.230
Tm 0.000 0.000 0.770
Mg 0.500 0.500 0.500
Nb 0.500 0.500 0.000
CELL_PARAMETERS angstrom
3.306 0.000 0.000
0.000 3.306 0.000
0.000 0.000 9.114
```

Which structure is most stable, and how do the rest compare? From most to least stable: B), A).